## LiPmCuRh (PBE)

Data for crystalline LiPmCuRh at its relaxed geometry.

Cell: 4.714 4.714 4.714 Å, 60.00 60.00 60.00°
Atoms (fractional coordinates):
Li  0.000  0.000  0.000
Pm  0.500  0.500  0.500
Cu  0.750  0.750  0.750
Rh  0.250  0.250  0.250

Calculated values
Formation enthalpy at 0 K in eV/atom: -0.22
Total energy in eV/atom: -4.747
Space group: F-43m (216)